Entry 1:
Entry from Alexandria: a geometry-optimized MgAsRuRh structure (PBE). Values from VASP.

Results
total energy	-0.2220	Ha/atom
volume	57.5	Å³/f.u.

The structure in Quantum ESPRESSO input format:
```
&SYSTEM
  ibrav = 0, nat = 4, ntyp = 4
/
ATOMIC_SPECIES
Ru 101.07 Ru.upf
As 74.92 As.upf
Rh 102.91 Rh.upf
Mg 24.30 Mg.upf
CELL_PARAMETERS angstrom
-1.4125 -4.0148 -0.8131
0.2590 -3.0503 3.0664
-3.6029 -1.4584 1.9148
ATOMIC_POSITIONS angstrom
Ru 0.0000 0.0000 0.0000
As -3.5673 -6.3926 3.1261
Rh -2.3782 -4.2618 2.0840
Mg -1.1891 -2.1309 1.0420
```

---

Entry 2:
Entry from Alexandria: a geometry-optimized UMnAu2 structure (PBE). Values from VASP.

Results
total energy	-0.2491	Ha/atom
volume	77.5	Å³/f.u.

The structure in Quantum ESPRESSO input format:
```
&SYSTEM
  ibrav = 0, nat = 4, ntyp = 3
/
ATOMIC_SPECIES
Au 196.97 Au.upf
Mn 54.94 Mn.upf
U 238.03 U.upf
CELL_PARAMETERS angstrom
3.1966 0.0000 0.0000
0.0000 3.1966 0.0000
0.0000 0.0000 7.5837
ATOMIC_POSITIONS angstrom
Au 0.0000 0.0000 5.9915
Au 0.0000 0.0000 1.5922
Mn 1.5983 1.5983 0.0000
U 1.5983 1.5983 3.7919
```

---

Entry 3:
Entry from Alexandria: a geometry-optimized ThCoBi structure (PBE). Values from VASP.

Results
total energy	-0.2367	Ha/atom
volume	73.4	Å³/f.u.

The structure in Quantum ESPRESSO input format:
```
&SYSTEM
  ibrav = 0, nat = 3, ntyp = 3
/
ATOMIC_SPECIES
Co 58.93 Co.upf
Bi 208.98 Bi.upf
Th 232.04 Th.upf
CELL_PARAMETERS angstrom
-0.5150 3.8463 -2.1768
-0.9650 -2.1934 -3.6473
-3.1772 1.1400 2.7660
ATOMIC_POSITIONS angstrom
Co -1.8479 0.0042 -2.1244
Bi -0.0584 0.4363 -0.2469
Th -2.7510 2.3525 -0.6868
```

---

Entry 4:
Entry from Alexandria: a geometry-optimized PmPa2Br8 structure (PBE). Values from VASP.

Results
total energy	-0.1739	Ha/atom
volume	453.5	Å³/f.u.

The structure in Quantum ESPRESSO input format:
```
&SYSTEM
  ibrav = 0, nat = 11, ntyp = 3
/
ATOMIC_SPECIES
Pm 145.00 Pm.upf
Pa 231.04 Pa.upf
Br 79.90 Br.upf
CELL_PARAMETERS angstrom
-4.7010 -3.6612 -4.7096
-6.5593 -2.4440 4.6240
-6.8908 4.7430 -0.6321
ATOMIC_POSITIONS angstrom
Pm 0.0000 0.0000 0.0000
Pa -14.7538 0.0976 1.0641
Pa -3.3974 -1.4598 -1.7818
Br -8.3967 2.2239 -0.4094
Br -9.9292 0.2013 -3.0783
Br -12.0359 0.8534 1.9261
Br -6.1152 -2.2156 -2.6438
Br -8.2220 -1.5636 2.3605
Br -9.7544 -3.5861 -0.3084
Br -13.3912 -1.2574 -0.8746
Br -4.7600 -0.1049 0.1568
```